Computed, not measured: a relaxed Pr2Y4Er7 crystal at the GGA-PBE level of DFT.

Calculated values
D(E_F)	1.37	states/eV per atom
calculated volume	426	Å³ per cell
energy of formation from the pure elements	0.183	eV/atom

Unit cell a=6.0654 b=6.0654 c=13.3584 alpha=90.00 beta=90.00 gamma=120.00
Atoms (fractional coordinates):
Y 0.3333 0.6667 0.5000
Er 0.3516 0.0000 0.2157
Er 0.6484 0.0000 0.7843
Pr 0.3333 0.6667 0.0000
Er 0.0000 0.6484 0.7843
Y 0.0000 0.0000 0.6050
Er 0.6484 0.6484 0.2157
Y 0.0000 0.0000 0.3950
Pr 0.6667 0.3333 0.0000
Er 0.0000 0.0000 0.0000
Er 0.3516 0.3516 0.7843
Er 0.0000 0.3516 0.2157
Y 0.6667 0.3333 0.5000